# 1
Compound: BaBO2F
Source: the Alexandria database
Functional: meta-GGA SCAN
Structure: PBEsol geometry

a = 4.560 Å, b = 4.560 Å, c = 4.955 Å
α = 90.00°, β = 90.00°, γ = 90.00°
Sites, in units of the cell vectors:
1 Ba 0.000 0.000 0.000
2 B 0.500 0.500 0.500
3 O 0.000 0.500 0.000
4 O 0.500 0.000 0.000
5 F 0.000 0.000 0.500

Calculated values
**Raw formation energy**: 0.12 eV per atom
**SG**: P4/mmm
**Total moment**: 0.344 μB per formula unit
**Calculated total energy**: -0.9167 Ry/atom


# 2
Compound: KMnRe
Source: the Alexandria database
Functional: meta-GGA SCAN
Structure: PBEsol geometry

a = 2.758 Å, b = 2.758 Å, c = 7.777 Å
α = 90.00°, β = 90.00°, γ = 120.00°
Sites, in units of the cell vectors:
1 K 0.000 0.000 0.000
2 Mn 0.667 0.333 0.628
3 Re 0.333 0.667 0.390

Calculated values
**SG**: P3m1
**DFT formation energy**: 319 kJ/mol of formula units
**Total moment**: 0.002 μB per formula unit
**Energy relative to the lowest polymorph listed for this composition**: 0 meV per atom
**Calculated total energy**: -2.3122 Ry/atom